# 1
Material: CdIr2Se
Method: DFT, meta-GGA SCAN
State: single point on PBEsol structure

Cell and atoms, written as POSCAR:
```
CdIr2Se
1.0
-2.080 2.080 3.669
2.080 -2.080 3.669
2.080 2.080 -3.669
Cd Ir Se
1 2 1
Direct
0.000 0.000 0.000
0.250 0.750 0.500
0.750 0.250 0.500
0.500 0.500 0.000
```

Values from the calculation:
* SG: I4/mmm, No. 139
* energy above the lowest structure with this stoichiometry: 49 meV per atom
* DOS(E_F): 0.40 states/eV/atom

***

# 2
Material: CdIr2Se
Method: DFT, meta-GGA SCAN
State: single point on PBEsol structure

Cell and atoms, written as POSCAR:
```
CdIr2Se
1.0
-3.548 3.548 2.769
3.548 -3.548 2.769
3.548 3.548 -2.769
Cd Ir Se
2 4 2
Direct
0.000 0.000 0.000
0.750 0.250 0.500
0.177 0.125 0.552
0.375 0.823 0.948
0.573 0.625 0.448
0.875 0.427 0.052
0.250 0.750 0.500
0.500 0.500 0.000
```

Values from the calculation:
* SG: I-42d, No. 122
* energy above the lowest structure with this stoichiometry: 3 meV per atom
* DOS(E_F): 0.53 states/eV/atom

***

# 3
Material: CdIr2Se
Method: DFT, meta-GGA SCAN
State: single point on PBEsol structure

Cell and atoms, written as POSCAR:
```
CdIr2Se
1.0
4.559 0.000 0.000
0.000 4.559 0.000
0.000 0.000 3.064
Cd Ir Se
1 2 1
Direct
0.000 0.000 0.000
0.000 0.500 0.500
0.500 0.000 0.500
0.500 0.500 0.000
```

Values from the calculation:
* SG: P4/mmm, No. 123
* energy above the lowest structure with this stoichiometry: 42 meV per atom
* DOS(E_F): 0.56 states/eV/atom

***

# 4
Material: CdSi2Ir
Method: DFT, meta-GGA SCAN
State: single point on PBEsol structure

Cell and atoms, written as POSCAR:
```
CdSi2Ir
1.0
3.270 0.000 0.000
0.000 4.218 0.000
0.000 0.000 4.776
Cd Si Ir
1 2 1
Direct
0.000 0.000 0.000
0.500 0.500 0.245
0.500 0.500 0.755
0.500 0.000 0.500
```

Values from the calculation:
* SG: Pmmm, No. 47
* energy: -121.317 eV/f.u.
* DOS(E_F): 0.23 states/eV/atom

***

# 5
Material: Cd2SiIr
Method: DFT, meta-GGA SCAN
State: single point on PBEsol structure

Cell and atoms, written as POSCAR:
```
Cd2SiIr
1.0
2.875 0.000 0.000
0.000 3.411 0.000
0.000 0.000 7.057
Cd Si Ir
2 1 1
Direct
0.000 0.000 0.000
0.500 0.500 0.296
0.500 0.500 0.715
0.000 0.000 0.577
```

Values from the calculation:
* SG: Pmm2, No. 25
* energy: -142.306 eV/f.u.
* DOS(E_F): 0.27 states/eV/atom

***

# 6
Material: CdSiIr2
Method: DFT, meta-GGA SCAN
State: single point on PBEsol structure

Cell and atoms, written as POSCAR:
```
CdSiIr2
1.0
2.884 0.000 0.000
0.000 2.884 0.000
0.000 0.000 7.016
Cd Si Ir
1 1 2
Direct
0.000 0.000 0.000
0.000 0.000 0.500
0.500 0.500 0.298
0.500 0.500 0.702
```

Values from the calculation:
* SG: P4/mmm, No. 123
* energy: -184.341 eV/f.u.
* DOS(E_F): 0.38 states/eV/atom

***

# 7
Material: CdSiIr2
Method: DFT, meta-GGA SCAN
State: single point on PBEsol structure

Cell and atoms, written as POSCAR:
```
CdSiIr2
1.0
-1.427 2.414 4.372
1.427 -2.414 4.372
1.427 2.414 -4.372
Cd Si Ir
1 1 2
Direct
0.000 0.000 0.000
0.500 0.500 0.000
0.283 0.783 0.500
0.717 0.217 0.500
```

Values from the calculation:
* SG: Immm, No. 71
* energy: -182.787 eV/f.u.
* DOS(E_F): 0.42 states/eV/atom

***

# 8
Material: CdSiIr2
Method: DFT, meta-GGA SCAN
State: single point on PBEsol structure

Cell and atoms, written as POSCAR:
```
CdSiIr2
1.0
1.442 -2.442 0.000
1.442 2.442 0.000
0.000 0.000 8.655
Cd Si Ir
1 1 2
Direct
0.000 0.000 0.000
0.000 0.000 0.500
0.500 0.500 0.288
0.500 0.500 0.712
```

Values from the calculation:
* SG: Cmmm, No. 65
* energy: -182.953 eV/f.u.
* DOS(E_F): 0.48 states/eV/atom

***

# 9
Material: CdSiIr2
Method: DFT, meta-GGA SCAN
State: single point on PBEsol structure

Cell and atoms, written as POSCAR:
```
CdSiIr2
1.0
4.724 -1.434 0.000
4.724 1.434 0.000
-1.777 0.000 4.475
Cd Si Ir
1 1 2
Direct
0.000 0.000 0.000
0.249 0.249 0.571
0.536 0.536 0.545
0.770 0.770 0.184
```

Values from the calculation:
* SG: Cm, No. 8
* energy: -182.548 eV/f.u.
* DOS(E_F): 0.69 states/eV/atom

***

# 10
Material: CdSiIr2
Method: DFT, meta-GGA SCAN
State: single point on PBEsol structure

Cell and atoms, written as POSCAR:
```
CdSiIr2
1.0
-3.470 3.470 2.679
3.470 -3.470 2.679
3.470 3.470 -2.679
Cd Si Ir
2 2 4
Direct
0.000 0.000 0.000
0.750 0.250 0.500
0.250 0.750 0.500
0.500 0.500 0.000
0.182 0.625 0.057
0.375 0.432 0.557
0.568 0.125 0.943
0.875 0.818 0.443
```

Values from the calculation:
* SG: I-42d, No. 122
* energy: -182.616 eV/f.u.
* DOS(E_F): 0.32 states/eV/atom

***

# 11
Material: Cd2SiIr
Method: DFT, meta-GGA SCAN
State: single point on PBEsol structure

Cell and atoms, written as POSCAR:
```
Cd2SiIr
1.0
4.171 -1.433 0.000
4.171 1.433 0.000
-2.383 0.000 6.666
Cd Si Ir
2 1 1
Direct
0.000 0.000 0.000
0.206 0.206 0.713
0.843 0.843 0.357
0.562 0.562 0.357
```

Values from the calculation:
* SG: Cm, No. 8
* energy: -142.569 eV/f.u.
* DOS(E_F): 0.30 states/eV/atom

***

# 12
Material: Sm4CdIr
Method: DFT, meta-GGA SCAN
State: single point on PBEsol structure

Cell and atoms, written as POSCAR:
```
Sm4CdIr
1.0
0.000 6.824 6.824
6.824 0.000 6.824
6.824 6.824 0.000
Sm Cd Ir
16 4 4
Direct
0.189 0.189 0.811
0.189 0.811 0.189
0.189 0.811 0.811
0.401 0.401 0.401
0.401 0.401 0.798
0.401 0.798 0.401
0.559 0.559 0.941
0.559 0.941 0.559
0.559 0.941 0.941
0.798 0.401 0.401
0.811 0.189 0.189
0.811 0.189 0.811
0.811 0.811 0.189
0.941 0.559 0.559
0.941 0.559 0.941
0.941 0.941 0.559
0.170 0.170 0.170
0.170 0.170 0.489
0.170 0.489 0.170
0.489 0.170 0.170
0.176 0.608 0.608
0.608 0.176 0.608
0.608 0.608 0.176
0.608 0.608 0.608
```

Values from the calculation:
* SG: F-43m, No. 216
* energy: -282.909 eV/f.u.
* DOS(E_F): 0.63 states/eV/atom

***

# 13
Material: CdSnIr3
Method: DFT, meta-GGA SCAN
State: single point on PBEsol structure

Cell and atoms, written as POSCAR:
```
CdSnIr3
1.0
4.792 0.000 0.000
0.000 4.792 0.000
0.000 0.000 4.792
Cd Sn Ir
1 1 3
Direct
0.000 0.000 0.000
0.500 0.500 0.500
0.000 0.500 0.500
0.500 0.000 0.500
0.500 0.500 0.000
```

Values from the calculation:
* SG: Pm-3m, No. 221
* energy: -270.772 eV/f.u.
* DOS(E_F): 0.41 states/eV/atom

***

# 14
Material: SrCdIr2
Method: DFT, meta-GGA SCAN
State: single point on PBEsol structure

Cell and atoms, written as POSCAR:
```
SrCdIr2
1.0
2.868 0.000 0.000
0.000 3.868 0.000
0.000 0.000 7.398
Sr Cd Ir
1 1 2
Direct
0.000 0.000 0.000
0.500 0.500 0.329
0.000 0.000 0.584
0.500 0.500 0.704
```

Values from the calculation:
* SG: Pmm2, No. 25
* energy: -194.644 eV/f.u.
* DOS(E_F): 0.61 states/eV/atom

***

# 15
Material: SrCdIr
Method: DFT, meta-GGA SCAN
State: single point on PBEsol structure

Cell and atoms, written as POSCAR:
```
SrCdIr
1.0
0.000 3.360 3.360
3.360 0.000 3.360
3.360 3.360 0.000
Sr Cd Ir
1 1 1
Direct
0.000 0.000 0.000
0.500 0.500 0.500
0.750 0.750 0.750
```

Values from the calculation:
* SG: F-43m, No. 216
* energy: -123.553 eV/f.u.
* DOS(E_F): 1.01 states/eV/atom

***

# 16
Material: SrCdIr2
Method: DFT, meta-GGA SCAN
State: single point on PBEsol structure

Cell and atoms, written as POSCAR:
```
SrCdIr2
1.0
5.470 -1.461 0.000
5.470 1.461 0.000
-2.087 0.000 4.774
Sr Cd Ir
1 1 2
Direct
0.000 0.000 0.000
0.205 0.205 0.625
0.457 0.457 0.477
0.767 0.767 0.140
```

Values from the calculation:
* SG: Cm, No. 8
* energy: -194.439 eV/f.u.
* DOS(E_F): 0.37 states/eV/atom

***

# 17
Material: SrCdIr2
Method: DFT, meta-GGA SCAN
State: single point on PBEsol structure

Cell and atoms, written as POSCAR:
```
SrCdIr2
1.0
2.937 0.000 0.000
0.000 2.937 0.000
0.000 0.000 8.811
Sr Cd Ir
1 1 2
Direct
0.000 0.000 0.000
0.500 0.500 0.309
0.000 0.000 0.546
0.500 0.500 0.725
```

Values from the calculation:
* SG: P4mm, No. 99
* energy: -194.043 eV/f.u.
* DOS(E_F): 0.66 states/eV/atom

***

# 18
Material: SrCdIr2
Method: DFT, meta-GGA SCAN
State: single point on PBEsol structure

Cell and atoms, written as POSCAR:
```
SrCdIr2
1.0
-2.118 2.118 4.165
2.118 -2.118 4.165
2.118 2.118 -4.165
Sr Cd Ir
1 1 2
Direct
0.000 0.000 0.000
0.500 0.500 0.000
0.250 0.750 0.500
0.750 0.250 0.500
```

Values from the calculation:
* SG: I4/mmm, No. 139
* energy: -193.260 eV/f.u.
* DOS(E_F): 0.70 states/eV/atom

***

# 19
Material: SrCdIr
Method: DFT, meta-GGA SCAN
State: single point on PBEsol structure

Cell and atoms, written as POSCAR:
```
SrCdIr
1.0
3.290 0.000 0.000
-1.645 2.849 0.000
0.000 0.000 7.119
Sr Cd Ir
1 1 1
Direct
0.000 0.000 0.000
0.667 0.333 0.598
0.333 0.667 0.311
```

Values from the calculation:
* SG: P3m1, No. 156
* energy: -122.459 eV/f.u.
* DOS(E_F): 0.39 states/eV/atom

***

# 20
Material: SrCd2Ir
Method: DFT, meta-GGA SCAN
State: single point on PBEsol structure

Cell and atoms, written as POSCAR:
```
SrCd2Ir
1.0
1.559 0.900 9.993
-1.559 0.900 9.993
0.000 -1.800 9.993
Sr Cd Ir
1 2 1
Direct
0.000 0.000 0.000
0.238 0.238 0.238
0.762 0.762 0.762
0.500 0.500 0.500
```

Values from the calculation:
* SG: R-3m, No. 166
* energy: -152.400 eV/f.u.
* DOS(E_F): 0.51 states/eV/atom

***

# 21
Material: TaCd2Ir
Method: DFT, meta-GGA SCAN
State: single point on PBEsol structure

Cell and atoms, written as POSCAR:
```
TaCd2Ir
1.0
2.859 0.000 0.000
0.000 2.859 0.000
0.000 0.000 8.444
Ta Cd Ir
1 2 1
Direct
0.000 0.000 0.000
0.500 0.500 0.267
0.500 0.500 0.733
0.000 0.000 0.500
```

Values from the calculation:
* SG: P4/mmm, No. 123
* energy above the lowest structure with this stoichiometry: 0 meV per atom
* DOS(E_F): 0.95 states/eV/atom

***

# 22
Material: Ta2CdIr2
Method: DFT, meta-GGA SCAN
State: single point on PBEsol structure

Cell and atoms, written as POSCAR:
```
Ta2CdIr2
1.0
7.669 0.000 0.000
0.000 7.669 0.000
0.000 0.000 2.897
Ta Cd Ir
4 2 4
Direct
0.162 0.338 0.000
0.338 0.838 0.000
0.662 0.162 0.000
0.838 0.662 0.000
0.000 0.000 0.500
0.500 0.500 0.500
0.131 0.631 0.500
0.369 0.131 0.500
0.631 0.869 0.500
0.869 0.369 0.500
```

Values from the calculation:
* SG: P4/mbm, No. 127
* energy: -308.349 eV/f.u.
* DOS(E_F): 0.52 states/eV/atom

***

# 23
Material: TaCdIr2
Method: DFT, meta-GGA SCAN
State: single point on PBEsol structure

Cell and atoms, written as POSCAR:
```
TaCdIr2
1.0
3.273 0.000 0.000
0.000 3.273 0.000
0.000 0.000 6.036
Ta Cd Ir
1 1 2
Direct
0.000 0.000 0.000
0.000 0.000 0.500
0.500 0.500 0.235
0.500 0.500 0.765
```

Values from the calculation:
* SG: P4/mmm, No. 123
* energy: -240.565 eV/f.u.
* DOS(E_F): 0.57 states/eV/atom

***

# 24
Material: TaCd2Ir
Method: DFT, meta-GGA SCAN
State: single point on PBEsol structure

Cell and atoms, written as POSCAR:
```
TaCd2Ir
1.0
4.781 0.000 0.000
0.000 4.781 0.000
0.000 0.000 3.021
Ta Cd Ir
1 2 1
Direct
0.000 0.000 0.000
0.000 0.500 0.500
0.500 0.000 0.500
0.500 0.500 0.000
```

Values from the calculation:
* SG: P4/mmm, No. 123
* energy above the lowest structure with this stoichiometry: 286 meV per atom
* DOS(E_F): 1.02 states/eV/atom

***

# 25
Material: TaCd2Ir
Method: DFT, meta-GGA SCAN
State: single point on PBEsol structure

Cell and atoms, written as POSCAR:
```
TaCd2Ir
1.0
0.000 3.235 3.235
3.235 0.000 3.235
3.235 3.235 0.000
Ta Cd Ir
1 2 1
Direct
0.000 0.000 0.000
0.250 0.250 0.250
0.750 0.750 0.750
0.500 0.500 0.500
```

Values from the calculation:
* SG: Fm-3m, No. 225
* energy above the lowest structure with this stoichiometry: 127 meV per atom
* DOS(E_F): 0.46 states/eV/atom

***

# 26
Material: CdTcIr4
Method: DFT, meta-GGA SCAN
State: single point on PBEsol structure

Cell and atoms, written as POSCAR:
```
CdTcIr4
1.0
0.000 3.622 3.622
3.622 0.000 3.622
3.622 3.622 0.000
Cd Tc Ir
1 1 4
Direct
0.000 0.000 0.000
0.250 0.250 0.250
0.125 0.625 0.625
0.625 0.125 0.625
0.625 0.625 0.125
0.625 0.625 0.625
```

Values from the calculation:
* SG: F-43m, No. 216
* energy: -347.323 eV/f.u.
* DOS(E_F): 0.86 states/eV/atom

***

# 27
Material: Cd2TcIr
Method: DFT, meta-GGA SCAN
State: single point on PBEsol structure

Cell and atoms, written as POSCAR:
```
Cd2TcIr
1.0
4.552 -1.410 0.000
4.552 1.410 0.000
-0.756 0.000 5.099
Cd Tc Ir
2 1 1
Direct
0.000 0.000 0.000
0.243 0.243 0.767
0.753 0.753 0.295
0.491 0.491 0.471
```

Values from the calculation:
* SG: Cm, No. 8
* energy above the lowest structure with this stoichiometry: 0 meV per atom
* DOS(E_F): 0.63 states/eV/atom

***

# 28
Material: Cd3TcIr
Method: DFT, meta-GGA SCAN
State: single point on PBEsol structure

Cell and atoms, written as POSCAR:
```
Cd3TcIr
1.0
5.019 0.000 0.000
0.000 5.019 0.000
0.000 0.000 5.019
Cd Tc Ir
3 1 1
Direct
0.000 0.000 0.500
0.000 0.500 0.000
0.500 0.000 0.000
0.500 0.500 0.500
0.000 0.000 0.000
```

Values from the calculation:
* SG: Pm-3m, No. 221
* energy: -191.696 eV/f.u.
* DOS(E_F): 0.39 states/eV/atom

***

# 29
Material: CdTcIr
Method: DFT, meta-GGA SCAN
State: single point on PBEsol structure

Cell and atoms, written as POSCAR:
```
CdTcIr
1.0
0.000 3.002 3.002
3.002 0.000 3.002
3.002 3.002 0.000
Cd Tc Ir
1 1 1
Direct
0.000 0.000 0.000
0.250 0.250 0.250
0.500 0.500 0.500
```

Values from the calculation:
* SG: F-43m, No. 216
* energy above the lowest structure with this stoichiometry: 614 meV per atom
* DOS(E_F): 0.43 states/eV/atom

***

Listing magnetization for the structures above in their given order: 0.00, 0.00, 0.49, 0.00, 0.00, 0.00, 0.00, 0.00, 0.00, 0.00, 0.00, 0.00, 0.97, 0.00, 0.00, 0.00, 0.00, 0.00, 0.00, 0.00, 0.00, 0.00, 0.00, 0.00, 0.00, 2.44, 0.00, 4.61, 0.00 μB per cell.